Crystalline SrLiZn2Ni at its relaxed geometry. Source: the Alexandria database, functional GGA-PBE.

```
SrLiZn2Ni
1.0
-3.944 -0.451 -2.554
0.792 -4.636 -0.405
-2.456 -0.762 3.927
Zn Sr Ni Li
2 1 1 1
Direct
0.500 0.000 0.000 Zn
0.000 0.500 0.000 Zn
0.500 0.500 0.500 Sr
0.000 0.000 0.000 Ni
0.000 0.000 0.500 Li
```

V, Å³ per cell: 105
E_form, kJ/mol of atoms: -11.8
VASP energy, eV per atom: -2.507
Spin magnetization, μB/f.u.: 0.0

---

Crystalline CoGeSbI2 at its relaxed geometry. Source: the Alexandria database, functional GGA-PBE.

```
CoGeSbI2
1.0
5.621 0.000 0.000
0.000 5.621 0.000
0.000 0.000 5.628
I Co Ge Sb
2 1 1 1
Direct
0.000 0.500 0.000 I
0.500 0.000 0.000 I
0.500 0.500 0.500 Co
0.000 0.000 0.000 Ge
0.000 0.000 0.500 Sb
```

Offset from the most stable computed form, eV per atom: 0.488
V, Å³ per cell: 178
VASP energy, eV per atom: -2.779
ΔE_f (raw), kJ/mol of atoms: 97.5
Spin magnetization, μB/f.u.: 1.9

---

Crystalline ScCr2Hg at its relaxed geometry. Source: the Alexandria database, functional GGA-PBE.

```
ScCr2Hg
1.0
4.658 -0.184 0.000
0.178 4.658 0.000
-2.418 -2.237 3.299
Sc Hg Cr
1 1 2
Direct
0.750 0.250 0.500 Sc
0.500 0.500 0.000 Hg
0.000 0.000 0.000 Cr
0.250 0.750 0.500 Cr
```

V, Å³ per cell: 72
E_form, kJ/mol of atoms: 16.0
VASP energy, eV per atom: -6.305
Spin magnetization, μB/f.u.: 0.5

---

Crystalline LiAgTe2I at its relaxed geometry. Source: the Alexandria database, functional GGA-PBE.

```
LiAgTe2I
1.0
-1.792 -4.163 1.461
1.434 -2.041 -4.056
6.900 -1.797 3.345
Te I Ag Li
2 1 1 1
Direct
0.000 0.500 0.000 Te
0.500 0.000 0.000 Te
0.000 0.000 0.500 I
0.500 0.500 0.500 Ag
0.000 0.000 0.000 Li
```

Offset from the most stable computed form, eV per atom: 0.083
V, Å³ per cell: 179
VASP energy, eV per atom: -2.333
ΔE_f (raw), kJ/mol of atoms: 18.1
Spin magnetization, μB/f.u.: 0.0